1.
Density functional theory data (PBEsol) for LaMg3Nb after structural relaxation.

a = 5.499 Å, b = 5.499 Å, c = 5.499 Å
α = 90.00°, β = 90.00°, γ = 90.00°
Space group Pm-3m (No. 221)
One atom of each set of equivalent atoms:
La 0.000 0.000 0.000 x1
Mg 0.000 0.000 0.500 x3
Nb 0.500 0.500 0.500 x1

Output
formation energy = 1909.6 meV per atom



2.
Density functional theory data (PBEsol) for Lu3Sb4Au3 after structural relaxation.

a = 9.681 Å, b = 9.681 Å, c = 9.681 Å
α = 90.00°, β = 90.00°, γ = 90.00°
Space group I-43d (No. 220)
One atom of each set of equivalent atoms:
Lu 0.000 0.250 0.375 x12
Sb 0.091 0.091 0.091 x16
Au 0.000 0.250 0.875 x12

Output
uncorrected formation energy = -7.9 eV per formula unit



3.
Density functional theory data (PBEsol) for TaAlAg3 after structural relaxation.

a = 5.067 Å, b = 5.067 Å, c = 5.067 Å
α = 90.00°, β = 90.00°, γ = 90.00°
Space group Pm-3m (No. 221)
One atom of each set of equivalent atoms:
Ta 0.000 0.000 0.000 x1
Al 0.500 0.500 0.500 x1
Ag 0.000 0.000 0.500 x3

Output
formation energy = 1636.7 meV per atom



4.
Density functional theory data (PBEsol) for BeSb2Ru after structural relaxation.

a = 4.471 Å, b = 4.471 Å, c = 6.868 Å
α = 90.00°, β = 90.00°, γ = 90.00°
Space group I4/mmm (No. 139)
One atom of each set of equivalent atoms:
Be 0.000 0.000 0.000 x2
Sb 0.000 0.500 0.250 x4
Ru 0.000 0.000 0.500 x2

Output
polymorph energy (0 for the lowest one) = 0.0 meV per atom
uncorrected formation energy = 1.6 eV per formula unit



5.
Density functional theory data (PBEsol) for ScTeRu2 after structural relaxation.

a = 3.1171 Å, b = 3.1171 Å, c = 24.5801 Å
α = 90.00°, β = 90.00°, γ = 120.00°
Space group R-3m (No. 166, hexagonal axes)
One atom of each set of equivalent atoms:
Sc 0.0000 0.0000 0.0000 x3
Te 0.0000 0.0000 0.5000 x3
Ru 0.0000 0.0000 0.2490 x6

Output
uncorrected formation energy = 0.5 eV per formula unit



6.
Density functional theory data (PBEsol) for LuH2 after structural relaxation.

a = 4.942 Å, b = 4.942 Å, c = 4.942 Å
α = 90.00°, β = 90.00°, γ = 90.00°
Space group Fm-3m (No. 225)
One atom of each set of equivalent atoms:
Lu 0.000 0.000 0.000 x4
H 0.250 0.250 0.250 x8

Output
calculated total energy = -4.56 eV/atom



7.
Density functional theory data (PBEsol) for Ta2Nb2Al after structural relaxation.

a = 3.735 Å, b = 3.735 Å, c = 13.673 Å
α = 90.00°, β = 90.00°, γ = 90.00°
Space group I4/mmm (No. 139)
One atom of each set of equivalent atoms:
Ta 0.000 0.000 0.090 x4
Nb 0.000 0.500 0.250 x4
Al 0.000 0.000 0.500 x2

Output
formation energy = 739.5 meV per atom



8.
Density functional theory data (PBEsol) for MnGaO3 after structural relaxation.

a = 3.1987 Å, b = 3.1987 Å, c = 11.6879 Å
α = 90.00°, β = 90.00°, γ = 120.00°
Space group P6_3/mmc (No. 194)
One atom of each set of equivalent atoms:
Mn 0.0000 0.0000 0.0000 x2
Ga 0.3333 0.6667 0.2500 x2
O 0.0000 0.0000 0.2500 x2
O 0.3333 0.6667 0.0785 x4

Output
uncorrected formation energy = -8.3 eV per formula unit



9.
Density functional theory data (PBEsol) for ZrTa2Fe after structural relaxation.

a = 3.126 Å, b = 3.126 Å, c = 6.811 Å
α = 90.00°, β = 90.00°, γ = 90.00°
Space group P4mm (No. 99)
One atom of each set of equivalent atoms:
Zr 0.000 0.000 0.000 x1
Ta 0.000 0.000 0.548 x1
Ta 0.500 0.500 0.285 x1
Fe 0.500 0.500 0.754 x1

Output
polymorph energy (0 for the lowest one) = 0.0 meV per atom
formation energy = -36.2 meV per atom



10.
Density functional theory data (PBEsol) for Mn3AgN after structural relaxation.

a = 4.791 Å, b = 4.791 Å, c = 4.791 Å
α = 90.00°, β = 90.00°, γ = 90.00°
Space group Pm-3m (No. 221)
One atom of each set of equivalent atoms:
Mn 0.000 0.000 0.500 x3
Ag 0.000 0.000 0.000 x1
N 0.500 0.500 0.500 x1

Output
uncorrected formation energy = 11.5 eV per formula unit



11.
Density functional theory data (PBEsol) for MoOs3 after structural relaxation.

a = 8.6926 Å, b = 8.6926 Å, c = 2.6649 Å
α = 90.00°, β = 90.00°, γ = 120.00°
Space group R-3m (No. 166, hexagonal axes)
One atom of each set of equivalent atoms:
Mo 0.0000 0.0000 0.0000 x3
Os 0.0000 0.5000 0.0000 x9

Output
formation energy = 591.9 meV per atom



12.
Density functional theory data (PBEsol) for KLi3Co after structural relaxation.

a = 4.967 Å, b = 4.967 Å, c = 4.967 Å
α = 90.00°, β = 90.00°, γ = 90.00°
Space group Pm-3m (No. 221)
One atom of each set of equivalent atoms:
K 0.000 0.000 0.000 x1
Li 0.000 0.500 0.500 x3
Co 0.500 0.500 0.500 x1

Output
formation energy = 575.3 meV per atom



What did the seventh record say?
Density functional theory data (PBEsol) for Ta2Nb2Al after structural relaxation.

a = 3.735 Å, b = 3.735 Å, c = 13.673 Å
α = 90.00°, β = 90.00°, γ = 90.00°
Space group I4/mmm (No. 139)
One atom of each set of equivalent atoms:
Ta 0.000 0.000 0.090 x4
Nb 0.000 0.500 0.250 x4
Al 0.000 0.000 0.500 x2

Output
formation energy = 739.5 meV per atom